(1)
Entry from Alexandria via LeMat-Bulk: a relaxed structure of Rb2PmHBr6 (PBE-GGA).

Unit cell a=6.9838 b=8.2346 c=8.2590 alpha=72.42 beta=70.33 gamma=108.27
Last column: nearest neighbours and their distance in Å.
Element x y z (fractional)
Br  0.2420  0.3694  0.0175  1 H 1.71
Br  0.1305  0.2411  0.6080  1 Pm 2.87
Br  0.7580  0.6306  0.9825  1 H 1.71
Br  0.3739  0.9258  0.8491  1 Pm 2.83
H  0.5000  0.5000  0.0000  2 Br 1.71
Pm  0.0000  0.0000  0.0000  6 Br 2.83-3.06
Br  0.6261  0.0742  0.1509  1 Pm 2.83
Rb  0.7499  0.3138  0.4105  6 Br 3.40-3.67
Br  0.8695  0.7589  0.3920  1 Pm 2.87
Rb  0.2502  0.6862  0.5895  6 Br 3.40-3.67

* symmetry: P-1
* final energy: -3.485 eV/atom
* size of the total moment: 0.00 μB/atom

---

(2)
Entry from Alexandria via LeMat-Bulk: a relaxed structure of Pm8Si3HBr4 (PBE-GGA).

Unit cell a=8.2591 b=8.7203 c=8.2588 alpha=118.26 beta=120.00 gamma=90.00
Last column: nearest neighbours and their distance in Å.
Element x y z (fractional)
Pm  0.7422  0.7074  0.9748  1 H 2.79, 2 Si 2.84
Si  0.5000  0.5000  0.0000  6 Pm 2.84-2.85
Pm  0.7675  0.2927  0.5350  1 H 2.78, 2 Si 2.84
Br  0.0000  0.0000  0.5000  6 Pm 3.17-3.18
H  0.0000  0.5000  0.0000  6 Pm 2.78-2.79
Br  0.5000  0.0000  0.0000  6 Pm 3.24
Pm  0.7379  0.7137  0.4758  3 Si 2.85, 3 Br 3.17
Br  0.5000  0.0000  0.5000  6 Pm 3.17-3.18
Br  0.0000  0.0000  0.0000  6 Pm 3.17-3.18
Pm  0.7674  0.2926  0.0252  1 H 2.79, 2 Si 2.84
Si  0.0000  0.5000  0.5000  6 Pm 2.84-2.85
Pm  0.2325  0.7073  0.4650  1 H 2.78, 2 Si 2.84
Pm  0.2578  0.2926  0.0252  1 H 2.79, 2 Si 2.84
Pm  0.2326  0.7074  0.9748  1 H 2.79, 2 Si 2.84
Pm  0.2621  0.2863  0.5242  3 Si 2.85, 3 Br 3.17
Si  0.5000  0.5000  0.5000  6 Pm 2.84-2.85

* symmetry: R-3m
* final energy: -4.971 eV/atom
* size of the total moment: 0.00 μB/atom

---

(3)
Entry from Alexandria via LeMat-Bulk: a relaxed structure of Pm4SiHBr2 (PBE-GGA).

Unit cell a=4.0283 b=6.9066 c=7.6795 alpha=106.49 beta=90.00 gamma=90.00
Last column: nearest neighbours and their distance in Å.
Element x y z (fractional)
Pm  0.0000  0.2750  0.7920  2 H 2.76, 1 Si 2.81, 1 Br 3.07
Pm  0.5000  0.2582  0.1963  1 H 2.55, 2 Si 2.83
Br  0.5000  0.0000  0.5000  6 Pm 3.21-3.31
H  0.5000  0.5000  0.0000  6 Pm 2.55-2.76
Pm  0.0000  0.7250  0.2080  2 H 2.76, 1 Si 2.81, 1 Br 3.07
Pm  0.5000  0.7418  0.8037  1 H 2.55, 2 Si 2.83
Br  0.0000  0.5000  0.5000  6 Pm 3.07-3.17
Si  0.0000  0.0000  0.0000  6 Pm 2.81-2.83

* symmetry: P2/m
* final energy: -4.740 eV/atom
* size of the total moment: 0.00 μB/atom

---

(4)
Entry from Alexandria via LeMat-Bulk: a relaxed structure of PrHBr3 (PBE-GGA).

Unit cell a=7.8759 b=7.7677 c=13.4513 alpha=74.68 beta=90.00 gamma=90.00
Last column: nearest neighbours and their distance in Å.
Element x y z (fractional)
Pr  0.2500  0.9169  0.0833  6 Br 2.93-2.94
Pr  0.2500  0.5831  0.4167  6 Br 2.93-2.94
Br  0.2517  0.9564  0.2943  2 Pr 2.93
Pr  0.7500  0.4169  0.5833  6 Br 2.93-2.94
Br  0.7483  0.0436  0.7057  2 Pr 2.93
Br  0.5037  0.2964  0.4528  2 Pr 2.93-2.94
Pr  0.7500  0.0831  0.9167  6 Br 2.93-2.94
H  0.7959  0.7921  0.2589  1 H 0.75
H  0.7959  0.7079  0.2411  1 H 0.75
Br  0.9982  0.7083  0.5428  2 Pr 2.93-2.94
H  0.2041  0.2079  0.7411  1 H 0.75
Br  0.2517  0.5436  0.2057  2 Pr 2.93
Br  0.7483  0.4564  0.7943  2 Pr 2.93
Br  0.0018  0.2917  0.4572  2 Pr 2.93-2.94
Br  0.9982  0.7917  0.9572  2 Pr 2.93-2.94
Br  0.4963  0.7036  0.5472  2 Pr 2.93-2.94
Br  0.5037  0.2036  0.0472  2 Pr 2.93-2.94
H  0.2041  0.2921  0.7589  1 H 0.75
Br  0.0018  0.2083  0.0428  2 Pr 2.93-2.94
Br  0.4963  0.7964  0.9528  2 Pr 2.93-2.94

* symmetry: P2/c
* final energy: -4.125 eV/atom
* size of the total moment: 0.00 μB/atom

---

(5)
Entry from Alexandria via LeMat-Bulk: a relaxed structure of Pr4HBr5 (PBE-GGA).

Unit cell a=3.9357 b=8.6565 c=9.2324 alpha=103.30 beta=102.31 gamma=90.00
Last column: nearest neighbours and their distance in Å.
Element x y z (fractional)
Pr  0.9983  0.2160  0.9965  2 H 2.72, 1 Br 2.98
Br  0.1759  0.8287  0.3517  4 Pr 3.07-3.18
Pr  0.6425  0.0761  0.2850  1 H 2.50
Br  0.8241  0.1713  0.6483  4 Pr 3.07-3.18
Pr  0.3575  0.9239  0.7150  1 H 2.50
Pr  0.0017  0.7840  0.0035  2 H 2.72, 1 Br 2.98
Br  0.8333  0.6530  0.6665  3 Pr 2.98-3.01
H  0.5000  0.0000  0.0000  6 Pr 2.50-2.72
Br  0.1667  0.3470  0.3335  3 Pr 2.98-3.01
Br  0.5000  0.5000  0.0000  4 Pr 3.14

* symmetry: C2/m
* final energy: -4.414 eV/atom
* size of the total moment: 0.00 μB/atom

---

(6)
Entry from Alexandria via LeMat-Bulk: a relaxed structure of PrHBr (PBE-GGA).

Unit cell a=5.4706 b=5.4706 c=5.4706 alpha=78.30 beta=58.77 gamma=106.19
Last column: nearest neighbours and their distance in Å.
Element x y z (fractional)
Br  0.2500  0.1308  0.6192  2 H 2.88, 2 Pr 3.10
Pr  0.0000  0.5000  0.0000  4 H 2.74
Br  0.7500  0.8692  0.3808  2 H 2.88, 2 Pr 3.10
H  0.0000  0.5000  0.5000  2 H 2.68, 4 Pr 2.74, 2 Br 2.88
H  0.5000  0.5000  0.0000  2 H 2.68, 4 Pr 2.74, 2 Br 2.88
Pr  0.5000  0.0000  0.0000  4 H 2.74

* symmetry: Imma
* final energy: -4.044 eV/atom
* size of the total moment: 0.00 μB/atom

---

(7)
Entry from Alexandria via LeMat-Bulk: a relaxed structure of Pr2HBr (PBE-GGA).

Unit cell a=3.7783 b=3.7783 c=7.8882 alpha=76.14 beta=76.14 gamma=60.00
Last column: nearest neighbours and their distance in Å.
Element x y z (fractional)
Pr  0.7298  0.7298  0.8107  3 H 2.61
Br  0.5000  0.5000  0.5000  6 Pr 3.21
Pr  0.2702  0.2702  0.1893  3 H 2.61
H  0.0000  0.0000  0.0000  6 Pr 2.61

* symmetry: R-3m
* final energy: -4.436 eV/atom
* size of the total moment: 0.00 μB/atom

---

(8)
Entry from Alexandria via LeMat-Bulk: a relaxed structure of PrH2Br4 (PBE-GGA).

Unit cell a=5.9766 b=3.9669 c=8.0564 alpha=104.25 beta=90.00 gamma=90.00
Last column: nearest neighbours and their distance in Å.
Element x y z (fractional)
H  0.5000  0.8957  0.7914  2 Br 1.98
Br  0.5000  0.3925  0.7850  2 H 1.98
Pr  0.0000  0.5000  0.0000  4 Br 2.88
Br  0.0000  0.8661  0.7322  2 Pr 2.88, 2 H 3.02
Br  0.5000  0.6075  0.2150  2 H 1.98
H  0.5000  0.1043  0.2086  2 Br 1.98
Br  0.0000  0.1339  0.2678  2 Pr 2.88, 2 H 3.02

* symmetry: Cmmm
* final energy: -3.262 eV/atom
* size of the total moment: 0.00 μB/atom

---

(9)
Entry from Alexandria via LeMat-Bulk: a relaxed structure of PrHBr4 (PBE-GGA).

Unit cell a=8.2763 b=8.2761 c=8.2765 alpha=63.44 beta=73.95 gamma=106.05
Last column: nearest neighbours and their distance in Å.
Element x y z (fractional)
H  0.5000  0.3280  0.1720  2 Br 1.73
Pr  0.0000  0.7705  0.2295  1 H 2.68, 6 Br 2.92-2.95
Br  0.3283  0.2967  0.3749  1 H 1.73
Br  0.7957  0.3247  0.4710  2 Pr 2.92-2.95
H  0.0000  0.0780  0.9220  2 Br 1.73
Br  0.2043  0.7333  0.4710  2 Pr 2.92-2.95
Br  0.8284  0.8751  0.9532  1 H 1.73
Pr  0.5000  0.0204  0.4795  1 H 2.68, 6 Br 2.92-2.95
Br  0.7043  0.7790  0.5167  2 Pr 2.92-2.95
Br  0.1717  0.2184  0.9533  1 H 1.73
Br  0.2957  0.7790  0.9252  2 Pr 2.92-2.95
Br  0.6716  0.2968  0.0316  1 H 1.73

* symmetry: I4_1md
* size of the total moment: 0.00 μB/atom
* E above lowest polymorph: 0.0435 eV/atom

---

(10)
Entry from Alexandria via LeMat-Bulk: a relaxed structure of PrHBr (PBE-GGA).

Unit cell a=4.5782 b=4.5782 c=7.1622 alpha=71.38 beta=71.38 gamma=89.95
Last column: nearest neighbours and their distance in Å.
Element x y z (fractional)
Pr  0.5601  0.5003  0.7969  4 H 2.59
Pr  0.2483  0.1886  0.4201  4 H 2.59
Br  0.4042  0.8443  0.1085  4 Pr 3.03-3.04, 2 H 3.20, 4 Br 3.24
H  0.1540  0.5949  0.6085  4 Pr 2.59
H  0.6545  0.0942  0.6085  4 Pr 2.59
Br  0.9042  0.3443  0.1085  4 Pr 3.03-3.04, 2 H 3.20, 4 Br 3.24

* symmetry: I4/mmm
* final energy: -4.171 eV/atom
* size of the total moment: 0.00 μB/atom

---

(11)
Entry from Alexandria via LeMat-Bulk: a relaxed structure of PrH2Br (PBE-GGA).

Unit cell a=3.9699 b=3.9699 c=10.8579 alpha=90.00 beta=90.00 gamma=120.00
Last column: nearest neighbours and their distance in Å.
Element x y z (fractional)
Br  0.3333  0.6667  0.8399  4 H 3.03-3.18, 3 Pr 3.03
H  0.6667  0.3333  0.4388  4 Pr 2.37-2.52, 6 H 2.43-2.65
Br  0.6667  0.3333  0.1601  4 H 3.03-3.18, 3 Pr 3.03
Pr  0.6667  0.3333  0.6568  7 H 2.30-2.52
H  0.3333  0.6667  0.5612  4 Pr 2.37-2.52, 6 H 2.43-2.65
H  0.0000  0.0000  0.3634  3 Pr 2.30, 3 H 2.43
Pr  0.3333  0.6667  0.3432  7 H 2.30-2.52
H  0.0000  0.0000  0.6366  3 Pr 2.30, 3 H 2.43

* symmetry: P-3m1
* size of the total moment: 0.00 μB/atom
* E above lowest polymorph: 0.0000 eV/atom

---

Question: Look up the size of the total moment of the tenth one.
Answer: 0.00 μB/atom